*w*
# LaCo2Br

LaCo2Br after structural relaxation (PBE, Alexandria via LeMat-Bulk).

Structure (CIF):
```
data_LaCo2Br
_chemical_formula_sum 'La2 Co4 Br2'
_cell_length_a 8.333
_cell_length_b 8.333
_cell_length_c 8.333
_cell_angle_alpha 147.71
_cell_angle_beta 147.71
_cell_angle_gamma 46.31
_space_group_name_H-M_alt 'P 1'
_space_group_IT_number 1
_space_group_name_Hall 'P 1'
loop_
_atom_site_label
_atom_site_type_symbol
_atom_site_fract_x
_atom_site_fract_y
_atom_site_fract_z
La1 La 0.000 0.000 0.000
La2 La 0.750 0.250 0.500
Co1 Co 0.318 0.125 0.693
Co2 Co 0.375 0.682 0.807
Co3 Co 0.432 0.625 0.307
Co4 Co 0.875 0.568 0.193
Br1 Br 0.250 0.750 0.500
Br2 Br 0.500 0.500 0.000
```

Output
**Mass density**: 6.795 g/cm3
**M_tot**: 0.0 μB per formula unit
**Density of states at the Fermi level**: 5.6 states/eV per cell
**Calculated volume**: 20.57 Å³/atom
**Space group**: I-42d



*x*
# LaCo2Br

LaCo2Br after structural relaxation (PBE, Alexandria via LeMat-Bulk).

Structure (CIF):
```
data_LaCo2Br
_chemical_formula_sum 'La1 Co2 Br1'
_cell_length_a 3.861
_cell_length_b 4.172
_cell_length_c 5.259
_cell_angle_alpha 90.00
_cell_angle_beta 90.00
_cell_angle_gamma 90.00
_space_group_name_H-M_alt 'P 1'
_space_group_IT_number 1
_space_group_name_Hall 'P 1'
loop_
_atom_site_label
_atom_site_type_symbol
_atom_site_fract_x
_atom_site_fract_y
_atom_site_fract_z
La1 La 0.000 0.000 0.000
Co1 Co 0.500 0.500 0.207
Co2 Co 0.500 0.500 0.793
Br1 Br 0.500 0.000 0.500
```

Output
**Mass density**: 6.599 g/cm3
**M_tot**: 2.1 μB per formula unit
**Density of states at the Fermi level**: 2.3 states/eV per cell
**Calculated volume**: 21.18 Å³/atom
**Space group**: Pmmm



*y*
# LaCo2Br

LaCo2Br after structural relaxation (PBE, Alexandria via LeMat-Bulk).

Structure (CIF):
```
data_LaCo2Br
_chemical_formula_sum 'La1 Co2 Br1'
_cell_length_a 5.242
_cell_length_b 5.242
_cell_length_c 5.242
_cell_angle_alpha 51.23
_cell_angle_beta 51.23
_cell_angle_gamma 51.23
_space_group_name_H-M_alt 'P 1'
_space_group_IT_number 1
_space_group_name_Hall 'P 1'
loop_
_atom_site_label
_atom_site_type_symbol
_atom_site_fract_x
_atom_site_fract_y
_atom_site_fract_z
La1 La 0.000 0.000 0.000
Co1 Co 0.176 0.176 0.176
Co2 Co 0.824 0.824 0.824
Br1 Br 0.500 0.500 0.500
```

Output
**Mass density**: 6.916 g/cm3
**M_tot**: 1.1 μB per formula unit
**Density of states at the Fermi level**: 2.7 states/eV per cell
**Calculated volume**: 20.21 Å³/atom
**Space group**: R-3m



Energetically preferred structure: *x* | next structure: +178 meV per atom



*w*
# LaCo2Br

LaCo2Br after structural relaxation (PBE, Alexandria via LeMat-Bulk).

Structure (CIF):
```
data_LaCo2Br
_chemical_formula_sum 'La1 Co2 Br1'
_cell_length_a 3.967
_cell_length_b 3.967
_cell_length_c 6.915
_cell_angle_alpha 90.12
_cell_angle_beta 90.12
_cell_angle_gamma 60.10
_space_group_name_H-M_alt 'P 1'
_space_group_IT_number 1
_space_group_name_Hall 'P 1'
loop_
_atom_site_label
_atom_site_type_symbol
_atom_site_fract_x
_atom_site_fract_y
_atom_site_fract_z
La1 La 0.000 0.000 0.000
Co1 Co 0.333 0.333 0.750
Co2 Co 0.666 0.666 0.683
Br1 Br 0.667 0.667 0.313
```

Output
**Mass density**: 5.928 g/cm3
**M_tot**: 2.7 μB per formula unit
**Density of states at the Fermi level**: 2.5 states/eV per cell
**Calculated volume**: 23.58 Å³/atom
**Space group**: Cm



*x*
# LaCo2Br

LaCo2Br after structural relaxation (PBE, Alexandria via LeMat-Bulk).

Structure (CIF):
```
data_LaCo2Br
_chemical_formula_sum 'La1 Co2 Br1'
_cell_length_a 5.259
_cell_length_b 5.259
_cell_length_c 5.259
_cell_angle_alpha 138.37
_cell_angle_beta 117.96
_cell_angle_gamma 77.51
_space_group_name_H-M_alt 'P 1'
_space_group_IT_number 1
_space_group_name_Hall 'P 1'
loop_
_atom_site_label
_atom_site_type_symbol
_atom_site_fract_x
_atom_site_fract_y
_atom_site_fract_z
La1 La 0.000 0.000 0.000
Co1 Co 0.317 0.817 0.500
Co2 Co 0.460 0.460 0.000
Br1 Br 0.683 0.183 0.500
```

Output
**Mass density**: 6.729 g/cm3
**M_tot**: 2.1 μB per formula unit
**Density of states at the Fermi level**: 2.0 states/eV per cell
**Calculated volume**: 20.77 Å³/atom
**Space group**: Imm2



*y*
# LaCo2Br

LaCo2Br after structural relaxation (PBE, Alexandria via LeMat-Bulk).

Structure (CIF):
```
data_LaCo2Br
_chemical_formula_sum 'La1 Co2 Br1'
_cell_length_a 3.530
_cell_length_b 3.518
_cell_length_c 7.490
_cell_angle_alpha 90.00
_cell_angle_beta 103.46
_cell_angle_gamma 90.00
_space_group_name_H-M_alt 'P 1'
_space_group_IT_number 1
_space_group_name_Hall 'P 1'
loop_
_atom_site_label
_atom_site_type_symbol
_atom_site_fract_x
_atom_site_fract_y
_atom_site_fract_z
La1 La 0.000 0.000 0.000
Co1 Co 0.154 0.500 0.311
Co2 Co 0.651 0.000 0.306
Br1 Br 0.372 0.500 0.741
```

Output
**Mass density**: 6.179 g/cm3
**M_tot**: 2.6 μB per formula unit
**Density of states at the Fermi level**: 2.7 states/eV per cell
**Calculated volume**: 22.62 Å³/atom
**Space group**: Pm



Energetically preferred structure: *w* | next structure: +132 meV per atom



*w*
# LaCo2Br

LaCo2Br after structural relaxation (PBE, Alexandria via LeMat-Bulk).

Structure (CIF):
```
data_LaCo2Br
_chemical_formula_sum 'La1 Co2 Br1'
_cell_length_a 4.856
_cell_length_b 4.856
_cell_length_c 4.856
_cell_angle_alpha 60.00
_cell_angle_beta 60.00
_cell_angle_gamma 60.00
_space_group_name_H-M_alt 'P 1'
_space_group_IT_number 1
_space_group_name_Hall 'P 1'
loop_
_atom_site_label
_atom_site_type_symbol
_atom_site_fract_x
_atom_site_fract_y
_atom_site_fract_z
La1 La 0.000 0.000 0.000
Co1 Co 0.250 0.250 0.250
Co2 Co 0.500 0.500 0.500
Br1 Br 0.750 0.750 0.750
```

Output
**Mass density**: 6.904 g/cm3
**M_tot**: 3.5 μB per formula unit
**Density of states at the Fermi level**: 6.0 states/eV per cell
**Calculated volume**: 20.24 Å³/atom
**Space group**: F-43m



*x*
# LaCo2Br

LaCo2Br after structural relaxation (PBE, Alexandria via LeMat-Bulk).

Structure (CIF):
```
data_LaCo2Br
_chemical_formula_sum 'La1 Co2 Br1'
_cell_length_a 3.938
_cell_length_b 3.938
_cell_length_c 6.099
_cell_angle_alpha 90.00
_cell_angle_beta 90.00
_cell_angle_gamma 90.00
_space_group_name_H-M_alt 'P 1'
_space_group_IT_number 1
_space_group_name_Hall 'P 1'
loop_
_atom_site_label
_atom_site_type_symbol
_atom_site_fract_x
_atom_site_fract_y
_atom_site_fract_z
La1 La 0.000 0.000 0.000
Co1 Co 0.500 0.500 0.174
Co2 Co 0.500 0.500 0.826
Br1 Br 0.000 0.000 0.500
```

Output
**Mass density**: 5.909 g/cm3
**M_tot**: 2.1 μB per formula unit
**Density of states at the Fermi level**: 1.8 states/eV per cell
**Calculated volume**: 23.65 Å³/atom
**Space group**: P4/mmm



Energetically preferred structure: *x* | next structure: +169 meV per atom



*w*
# La2CoBr

La2CoBr after structural relaxation (PBE, Alexandria via LeMat-Bulk).

Structure (CIF):
```
data_La2CoBr
_chemical_formula_sum 'La2 Co1 Br1'
_cell_length_a 6.199
_cell_length_b 6.199
_cell_length_c 4.608
_cell_angle_alpha 90.10
_cell_angle_beta 90.10
_cell_angle_gamma 36.86
_space_group_name_H-M_alt 'P 1'
_space_group_IT_number 1
_space_group_name_Hall 'P 1'
loop_
_atom_site_label
_atom_site_type_symbol
_atom_site_fract_x
_atom_site_fract_y
_atom_site_fract_z
La1 La 0.000 0.000 0.000
La2 La 0.724 0.724 0.501
Co1 Co 0.196 0.196 0.002
Br1 Br 0.453 0.453 0.500
```

Output
**Mass density**: 6.514 g/cm3
**M_tot**: 0.0 μB per formula unit
**Density of states at the Fermi level**: 4.7 states/eV per cell
**Calculated volume**: 26.55 Å³/atom
**Space group**: Cm



*x*
# La2CoBr

La2CoBr after structural relaxation (PBE, Alexandria via LeMat-Bulk).

Structure (CIF):
```
data_La2CoBr
_chemical_formula_sum 'La2 Co1 Br1'
_cell_length_a 3.568
_cell_length_b 4.802
_cell_length_c 5.792
_cell_angle_alpha 90.00
_cell_angle_beta 90.00
_cell_angle_gamma 90.00
_space_group_name_H-M_alt 'P 1'
_space_group_IT_number 1
_space_group_name_Hall 'P 1'
loop_
_atom_site_label
_atom_site_type_symbol
_atom_site_fract_x
_atom_site_fract_y
_atom_site_fract_z
La1 La 0.000 0.000 0.000
La2 La 0.000 0.500 0.500
Co1 Co 0.500 0.000 0.500
Br1 Br 0.500 0.500 0.000
```

Output
**Mass density**: 6.971 g/cm3
**M_tot**: 0.3 μB per formula unit
**Density of states at the Fermi level**: 4.5 states/eV per cell
**Calculated volume**: 24.81 Å³/atom
**Space group**: Pmmm



*y*
# La2CoBr

La2CoBr after structural relaxation (PBE, Alexandria via LeMat-Bulk).

Structure (CIF):
```
data_La2CoBr
_chemical_formula_sum 'La2 Co1 Br1'
_cell_length_a 5.125
_cell_length_b 5.125
_cell_length_c 5.125
_cell_angle_alpha 60.00
_cell_angle_beta 60.00
_cell_angle_gamma 60.00
_space_group_name_H-M_alt 'P 1'
_space_group_IT_number 1
_space_group_name_Hall 'P 1'
loop_
_atom_site_label
_atom_site_type_symbol
_atom_site_fract_x
_atom_site_fract_y
_atom_site_fract_z
La1 La 0.000 0.000 0.000
La2 La 0.250 0.250 0.250
Co1 Co 0.500 0.500 0.500
Br1 Br 0.750 0.750 0.750
```

Output
**Mass density**: 7.269 g/cm3
**M_tot**: 0.0 μB per formula unit
**Density of states at the Fermi level**: 4.4 states/eV per cell
**Calculated volume**: 23.80 Å³/atom
**Space group**: F-43m



*z*
# La2CoBr

La2CoBr after structural relaxation (PBE, Alexandria via LeMat-Bulk).

Structure (CIF):
```
data_La2CoBr
_chemical_formula_sum 'La2 Co1 Br1'
_cell_length_a 4.245
_cell_length_b 4.245
_cell_length_c 6.124
_cell_angle_alpha 90.00
_cell_angle_beta 90.00
_cell_angle_gamma 90.00
_space_group_name_H-M_alt 'P 1'
_space_group_IT_number 1
_space_group_name_Hall 'P 1'
loop_
_atom_site_label
_atom_site_type_symbol
_atom_site_fract_x
_atom_site_fract_y
_atom_site_fract_z
La1 La 0.000 0.000 0.000
La2 La 0.500 0.500 0.447
Co1 Co 0.500 0.500 0.040
Br1 Br 0.000 0.000 0.503
```

Output
**Mass density**: 6.268 g/cm3
**M_tot**: 0.0 μB per formula unit
**Density of states at the Fermi level**: 4.7 states/eV per cell
**Calculated volume**: 27.59 Å³/atom
**Space group**: P4mm



Energetically preferred structure: *z* | next structure: +38 meV per atom



*w*
# La2CoBr

La2CoBr after structural relaxation (PBE, Alexandria via LeMat-Bulk).

Structure (CIF):
```
data_La2CoBr
_chemical_formula_sum 'La2 Co1 Br1'
_cell_length_a 5.181
_cell_length_b 5.181
_cell_length_c 5.181
_cell_angle_alpha 60.00
_cell_angle_beta 60.00
_cell_angle_gamma 60.00
_space_group_name_H-M_alt 'P 1'
_space_group_IT_number 1
_space_group_name_Hall 'P 1'
loop_
_atom_site_label
_atom_site_type_symbol
_atom_site_fract_x
_atom_site_fract_y
_atom_site_fract_z
La1 La 0.250 0.250 0.250
La2 La 0.750 0.750 0.750
Co1 Co 0.000 0.000 0.000
Br1 Br 0.500 0.500 0.500
```

Output
**Mass density**: 7.035 g/cm3
**M_tot**: 0.0 μB per formula unit
**Density of states at the Fermi level**: 4.1 states/eV per cell
**Calculated volume**: 24.59 Å³/atom
**Space group**: Fm-3m



*x*
# La2CoBr

La2CoBr after structural relaxation (PBE, Alexandria via LeMat-Bulk).

Structure (CIF):
```
data_La2CoBr
_chemical_formula_sum 'La4 Co2 Br2'
_cell_length_a 6.794
_cell_length_b 6.794
_cell_length_c 6.794
_cell_angle_alpha 112.92
_cell_angle_beta 112.92
_cell_angle_gamma 102.78
_space_group_name_H-M_alt 'P 1'
_space_group_IT_number 1
_space_group_name_Hall 'P 1'
loop_
_atom_site_label
_atom_site_type_symbol
_atom_site_fract_x
_atom_site_fract_y
_atom_site_fract_z
La1 La 0.061 0.625 0.936
La2 La 0.375 0.311 0.436
La3 La 0.689 0.125 0.064
La4 La 0.875 0.939 0.564
Co1 Co 0.000 0.000 0.000
Co2 Co 0.750 0.250 0.500
Br1 Br 0.250 0.750 0.500
Br2 Br 0.500 0.500 0.000
```

Output
**Mass density**: 5.790 g/cm3
**M_tot**: 0.0 μB per formula unit
**Density of states at the Fermi level**: 5.0 states/eV per cell
**Calculated volume**: 29.87 Å³/atom
**Space group**: I-42d



*y*
# La2CoBr

La2CoBr after structural relaxation (PBE, Alexandria via LeMat-Bulk).

Structure (CIF):
```
data_La2CoBr
_chemical_formula_sum 'La2 Co1 Br1'
_cell_length_a 3.589
_cell_length_b 3.589
_cell_length_c 8.334
_cell_angle_alpha 90.00
_cell_angle_beta 90.00
_cell_angle_gamma 105.07
_space_group_name_H-M_alt 'P 1'
_space_group_IT_number 1
_space_group_name_Hall 'P 1'
loop_
_atom_site_label
_atom_site_type_symbol
_atom_site_fract_x
_atom_site_fract_y
_atom_site_fract_z
La1 La 0.000 0.000 0.201
La2 La 0.000 0.000 0.799
Co1 Co 0.500 0.500 0.000
Br1 Br 0.500 0.500 0.500
```

Output
**Mass density**: 6.673 g/cm3
**M_tot**: 0.0 μB per formula unit
**Density of states at the Fermi level**: 2.9 states/eV per cell
**Calculated volume**: 25.92 Å³/atom
**Space group**: Cmmm



*z*
# La2CoBr

La2CoBr after structural relaxation (PBE, Alexandria via LeMat-Bulk).

Structure (CIF):
```
data_La2CoBr
_chemical_formula_sum 'La2 Co1 Br1'
_cell_length_a 8.441
_cell_length_b 8.441
_cell_length_c 8.441
_cell_angle_alpha 154.86
_cell_angle_beta 154.28
_cell_angle_gamma 36.27
_space_group_name_H-M_alt 'P 1'
_space_group_IT_number 1
_space_group_name_Hall 'P 1'
loop_
_atom_site_label
_atom_site_type_symbol
_atom_site_fract_x
_atom_site_fract_y
_atom_site_fract_z
La1 La 0.000 0.000 0.000
La2 La 0.704 0.204 0.500
Co1 Co 0.580 0.580 0.000
Br1 Br 0.329 0.829 0.500
```

Output
**Mass density**: 6.247 g/cm3
**M_tot**: 0.1 μB per formula unit
**Density of states at the Fermi level**: 4.6 states/eV per cell
**Calculated volume**: 27.69 Å³/atom
**Space group**: Imm2



Energetically preferred structure: *y* | next structure: +32 meV per atom